Entry 1:
Density functional theory data (meta-GGA SCAN) for a crystal of Ca2Si3Pb3O11 relaxed with PBEsol.

a b c (Å): 9.8566 9.8566 10.1789
angles (deg): 90.00 90.00 120.00
Fractional coordinates of all 57 atoms:
O  0.2687  0.4620  0.0000
O  0.7431  0.1009  0.2459
O  0.7431  0.1009  0.7541
O  0.5761  0.5939  0.1249
O  0.0723  0.1963  0.6703
O  0.1644  0.9924  0.0000
O  0.5761  0.5939  0.8751
O  0.3137  0.4900  0.6589
O  0.5100  0.8237  0.6589
O  0.0178  0.4239  0.1249
O  0.7422  0.0384  0.5000
O  0.0178  0.4239  0.8751
O  0.2962  0.2578  0.5000
O  0.5100  0.8237  0.3411
O  0.3137  0.4900  0.3411
O  0.8991  0.6422  0.2459
O  0.8037  0.8760  0.6703
O  0.0076  0.1719  0.0000
O  0.1240  0.9277  0.3297
O  0.3578  0.2569  0.7541
O  0.8991  0.6422  0.7541
O  0.1933  0.7313  0.0000
O  0.1240  0.9277  0.6703
O  0.5380  0.8067  0.0000
O  0.4061  0.9822  0.8751
O  0.3578  0.2569  0.2459
O  0.8281  0.8356  0.0000
O  0.1763  0.6863  0.3411
O  0.0723  0.1963  0.3297
O  0.4061  0.9822  0.1249
O  0.9616  0.7038  0.5000
O  0.1763  0.6863  0.6589
O  0.8037  0.8760  0.3297
Pb  0.6550  0.0695  0.0000
Pb  0.6638  0.6060  0.6755
Pb  0.3940  0.0578  0.3245
Pb  0.9422  0.3362  0.6755
Pb  0.3940  0.0578  0.6755
Pb  0.9305  0.5855  0.0000
Pb  0.9422  0.3362  0.3245
Pb  0.6638  0.6060  0.3245
Pb  0.4145  0.3450  0.0000
Si  0.2643  0.3085  0.6509
Si  0.0442  0.7357  0.6509
Si  0.6421  0.7175  0.0000
Si  0.0442  0.7357  0.3491
Si  0.6915  0.9558  0.3491
Si  0.2643  0.3085  0.3491
Si  0.6915  0.9558  0.6509
Si  0.2825  0.9247  0.0000
Si  0.0753  0.3579  0.0000
Ca  0.3333  0.6667  0.1742
Ca  0.0000  0.0000  0.8395
Ca  0.0000  0.0000  0.5000
Ca  0.3333  0.6667  0.5000
Ca  0.0000  0.0000  0.1605
Ca  0.3333  0.6667  0.8258

Summary:
The total magnetization is 0.00 μB per formula unit. The uncorrected formation energy comes out at -2618 meV/atom. The space group is No. 174.

Entry 2:
Density functional theory data (meta-GGA SCAN) for a crystal of Ca2Zn3Si3PbO12 relaxed with PBEsol.

a b c (Å): 8.2668 8.7895 15.2583
angles (deg): 89.94 90.00 90.00
Fractional coordinates of all 84 atoms:
Pb  0.9509  0.2451  0.7493
Pb  0.5491  0.7451  0.2493
Pb  0.4509  0.2549  0.7507
Pb  0.0491  0.7549  0.2507
O  0.7377  0.5676  0.2953
O  0.1299  0.9527  0.8683
O  0.2494  0.7326  0.6974
O  0.2377  0.9324  0.2047
O  0.2475  0.9328  0.5348
O  0.5513  0.4124  0.1867
O  0.2525  0.4328  0.0348
O  0.0498  0.6759  0.0468
O  0.0538  0.4811  0.3925
O  0.3659  0.7230  0.0405
O  0.6326  0.9142  0.6575
O  0.7525  0.0672  0.4652
O  0.7494  0.7674  0.8026
O  0.3701  0.4527  0.3683
O  0.9502  0.3241  0.9532
O  0.7429  0.4120  0.4823
O  0.6341  0.2770  0.9595
O  0.7701  0.4095  0.8172
O  0.8674  0.4142  0.1575
O  0.7571  0.9120  0.9823
O  0.8701  0.0473  0.1317
O  0.9462  0.5189  0.6075
O  0.7702  0.2687  0.6344
O  0.2298  0.7313  0.3656
O  0.4502  0.1759  0.5468
O  0.3674  0.0858  0.3425
O  0.1326  0.5858  0.8425
O  0.2701  0.0905  0.6828
O  0.0513  0.0876  0.3133
O  0.2429  0.0880  0.0177
O  0.6299  0.5473  0.6317
O  0.2702  0.2313  0.8656
O  0.7623  0.0676  0.7953
O  0.5538  0.0189  0.1075
O  0.4462  0.9811  0.8925
O  0.1341  0.2230  0.5405
O  0.7506  0.2674  0.3026
O  0.4487  0.5876  0.8133
O  0.7299  0.9095  0.3172
O  0.9487  0.9124  0.6867
O  0.8659  0.7770  0.4595
O  0.2571  0.5880  0.5177
O  0.2623  0.4324  0.7047
O  0.2506  0.2326  0.1974
O  0.5498  0.8241  0.4532
O  0.7475  0.5672  0.9652
O  0.7298  0.7687  0.1344
O  0.2299  0.5905  0.1828
Si  0.2291  0.0884  0.2653
Si  0.2709  0.5884  0.7653
Si  0.7744  0.3951  0.9253
Si  0.7705  0.4392  0.5881
Si  0.2256  0.6049  0.0747
Si  0.7256  0.8951  0.4253
Si  0.7291  0.4116  0.2347
Si  0.7295  0.9392  0.0881
Si  0.2744  0.1049  0.5747
Si  0.2295  0.5608  0.4119
Si  0.2705  0.0608  0.9119
Si  0.7709  0.9116  0.7347
Ca  0.9589  0.2389  0.4250
Ca  0.5411  0.7389  0.9250
Ca  0.4605  0.7401  0.5883
Ca  0.0411  0.7611  0.5750
Ca  0.9605  0.7599  0.9117
Ca  0.4589  0.2611  0.0750
Ca  0.5395  0.2599  0.4117
Ca  0.0395  0.2401  0.0883
Zn  0.1639  0.9240  0.7441
Zn  0.3361  0.4240  0.2441
Zn  0.1600  0.4076  0.9160
Zn  0.6601  0.0755  0.9102
Zn  0.8399  0.5755  0.4102
Zn  0.8361  0.0760  0.2559
Zn  0.6600  0.0924  0.5840
Zn  0.1601  0.4245  0.5898
Zn  0.3399  0.9076  0.4160
Zn  0.3399  0.9245  0.0898
Zn  0.8400  0.5924  0.0840
Zn  0.6639  0.5760  0.7559

Summary:
The total magnetization is 0.00 μB per formula unit. The uncorrected formation energy comes out at -2601 meV/atom. The space group is No. 14.